# 1
This record from Alexandria describes a geometry-optimized LiPrZnGe structure. The functional is PBE-GGA.

The structure belongs to space group F-43m (No. 216); the cell edges are 6.995, 6.995 and 6.995 Å and the angles 90.00°, 90.00° and 90.00°. Symmetry generates all atoms from Li at (0.000, 0.000, 0.000), Pr at (0.000, 0.000, 0.500), Zn at (0.250, 0.250, 0.750) and Ge at (0.250, 0.250, 0.250).

The calculated formation energy is -0.419 eV per atom. The value obtained for the density of states at the Fermi level is 7.3 states/eV per cell. The volume comes out at 342.3 Å³/cell. The final energy comes out at -57.05 eV/cell. Its spin magnetization is 0.0 μB per formula unit.


# 2
This record from Alexandria describes a geometry-optimized Li3Pr2ZnGe4 structure. The functional is PBE-GGA.

The structure belongs to space group P-4m2 (No. 115); the cell edges are 4.215, 4.215 and 10.680 Å and the angles 90.00°, 90.00° and 90.00°. Symmetry generates all atoms from Li at (0.000, 0.000, 0.000), Li at (0.000, 0.500, 0.631), Pr at (0.000, 0.500, 0.253), Zn at (0.500, 0.500, 0.000), Ge at (0.000, 0.000, 0.500), Ge at (0.000, 0.500, 0.859) and Ge at (0.500, 0.500, 0.500).

The calculated formation energy is -0.561 eV per atom. The value obtained for the density of states at the Fermi level is 3.6 states/eV per cell. The volume comes out at 189.8 Å³/cell. The final energy comes out at -40.65 eV/cell. Its spin magnetization is 0.0 μB per formula unit.


# 3
This record from Alexandria describes a geometry-optimized Li3GePt structure. The functional is PBE-GGA.

The structure belongs to space group Pm-3m (No. 221); the cell edges are 4.525, 4.525 and 4.525 Å and the angles 90.00°, 90.00° and 90.00°. Symmetry generates all atoms from Li at (0.000, 0.000, 0.500), Ge at (0.000, 0.000, 0.000) and Pt at (0.500, 0.500, 0.500).

The calculated formation energy is 0.407 eV per atom. The value obtained for the density of states at the Fermi level is 4.6 states/eV per cell. The energy above the lowest structure with this stoichiometry is 3.94 eV per formula unit. The volume comes out at 92.7 Å³/cell. The final energy comes out at -14.36 eV/cell. Its spin magnetization is 0.0 μB per formula unit.


# 4
This record from Alexandria describes a geometry-optimized Li3GePt4 structure. The functional is PBE-GGA.

The structure belongs to space group C2/m (No. 12); the cell edges are 12.595, 4.241 and 4.241 Å and the angles 90.00°, 109.58° and 90.00°. Symmetry generates all atoms from Li at (0.000, 0.000, 0.000), Li at (0.247, 0.000, 0.247), Ge at (0.000, 0.500, 0.500), Pt at (0.126, 0.000, 0.627) and Pt at (0.126, 0.500, 0.127).

The calculated formation energy is -0.622 eV per atom. The value obtained for the density of states at the Fermi level is 2.1 states/eV per cell. The volume comes out at 213.5 Å³/cell. The final energy comes out at -79.00 eV/cell. Its spin magnetization is 0.0 μB per formula unit.


# 5
This record from Alexandria describes a geometry-optimized LiGePt structure. The functional is PBE-GGA.

The structure belongs to space group F-43m (No. 216); the cell edges are 5.895, 5.895 and 5.895 Å and the angles 90.00°, 90.00° and 90.00°. Symmetry generates all atoms from Li at (0.000, 0.000, 0.000), Ge at (0.000, 0.000, 0.500) and Pt at (0.250, 0.250, 0.750).

The calculated formation energy is -0.499 eV per atom. The value obtained for the density of states at the Fermi level is 7.4 states/eV per cell. The volume comes out at 204.9 Å³/cell. The final energy comes out at -56.28 eV/cell. Its spin magnetization is 0.0 μB per formula unit.


# 6
This record from Alexandria describes a geometry-optimized Li2GePt3 structure. The functional is PBE-GGA.

The structure belongs to space group R-3m (No. 166, hexagonal axes); the cell edges are 5.4287, 5.4287 and 11.7148 Å and the angles 90.00°, 90.00° and 120.00°. Symmetry generates all atoms from Li at (0.0000, 0.0000, 0.1207), Ge at (0.0000, 0.0000, 0.5000) and Pt at (0.0000, 0.5000, 0.0000).

The calculated formation energy is -0.591 eV per atom. The value obtained for the density of states at the Fermi level is 4.5 states/eV per cell. The volume comes out at 299.0 Å³/cell. The final energy comes out at -90.35 eV/cell. Its spin magnetization is 0.0 μB per formula unit.


# 7
This record from Alexandria describes a geometry-optimized Li2GePt structure. The functional is PBE-GGA.

The structure belongs to space group Immm (No. 71); the cell edges are 2.929, 4.466 and 10.043 Å and the angles 90.00°, 90.00° and 90.00°. Symmetry generates all atoms from Li at (0.000, 0.000, 0.246), Ge at (0.000, 0.000, 0.500) and Pt at (0.000, 0.000, 0.000).

The calculated formation energy is -0.127 eV per atom. The value obtained for the density of states at the Fermi level is 4.8 states/eV per cell. The volume comes out at 131.4 Å³/cell. The final energy comes out at -29.99 eV/cell. Its spin magnetization is 0.0 μB per formula unit.


# 8
This record from Alexandria describes a geometry-optimized Li3GePt structure. The functional is PBE-GGA.

The structure belongs to space group Pm-3m (No. 221); the cell edges are 4.629, 4.629 and 4.629 Å and the angles 90.00°, 90.00° and 90.00°. Symmetry generates all atoms from Li at (0.000, 0.000, 0.500), Ge at (0.500, 0.500, 0.500) and Pt at (0.000, 0.000, 0.000).

The calculated formation energy is 0.094 eV per atom. The value obtained for the density of states at the Fermi level is 1.8 states/eV per cell. The energy above the lowest structure with this stoichiometry is 2.38 eV per formula unit. The volume comes out at 99.2 Å³/cell. The final energy comes out at -15.93 eV/cell. Its spin magnetization is 0.0 μB per formula unit.


# 9
This record from Alexandria describes a geometry-optimized Li8Ge6Pt structure. The functional is PBE-GGA.

The structure belongs to space group R-3 (No. 148, hexagonal axes); the cell edges are 7.2918, 7.2918 and 16.2679 Å and the angles 90.00°, 90.00° and 120.00°. Symmetry generates all atoms from Li at (0.0000, 0.0000, 0.0977), Li at (0.0363, 0.2639, 0.6262), Ge at (0.0053, 0.7248, 0.2099) and Pt at (0.0000, 0.0000, 0.5000).

The calculated formation energy is -0.274 eV per atom. The value obtained for the density of states at the Fermi level is 11.9 states/eV per cell. The volume comes out at 749.1 Å³/cell. The final energy comes out at -159.51 eV/cell. Its spin magnetization is 0.0 μB per formula unit.


# 10
This record from Alexandria describes a geometry-optimized Li3Ge4Pt2 structure. The functional is PBE-GGA.

The structure belongs to space group C2/m (No. 12); the cell edges are 10.272, 4.238 and 7.889 Å and the angles 90.00°, 108.63° and 90.00°. Symmetry generates all atoms from Li at (0.000, 0.000, 0.000), Li at (0.122, 0.500, 0.689), Ge at (0.077, 0.000, 0.398), Ge at (0.233, 0.500, 0.079) and Pt at (0.185, 0.500, 0.363).

The calculated formation energy is -0.431 eV per atom. The value obtained for the density of states at the Fermi level is 4.9 states/eV per cell. The energy above the lowest structure with this stoichiometry is 0.90 eV per formula unit. The volume comes out at 325.5 Å³/cell. The final energy comes out at -80.34 eV/cell. Its spin magnetization is 0.0 μB per formula unit.


# 11
This record from Alexandria describes a geometry-optimized Li3Ge2Pt4 structure. The functional is PBE-GGA.

The structure belongs to space group Cccm (No. 66); the cell edges are 9.908, 11.455 and 4.732 Å and the angles 90.00°, 90.00° and 90.00°. Symmetry generates all atoms from Li at (0.000, 0.000, 0.250), Li at (0.078, 0.391, 0.000), Ge at (0.100, 0.229, 0.500), Pt at (0.153, 0.157, 0.000) and Pt at (0.221, 0.431, 0.500).

The calculated formation energy is -0.517 eV per atom. The value obtained for the density of states at the Fermi level is 15.4 states/eV per cell. The energy above the lowest structure with this stoichiometry is 0.80 eV per formula unit. The volume comes out at 537.1 Å³/cell. The final energy comes out at -175.18 eV/cell. Its spin magnetization is 0.0 μB per formula unit.


# 12
This record from Alexandria describes a geometry-optimized LiGePt structure. The functional is PBE-GGA.

The structure belongs to space group Ima2 (No. 46); the cell edges are 7.170, 11.537 and 6.741 Å and the angles 90.00°, 90.00° and 90.00°. Symmetry generates all atoms from Li at (0.250, 0.022, 0.000), Li at (0.250, 0.225, 0.640), Li at (0.250, 0.683, 0.094), Ge at (0.039, 0.666, 0.404), Ge at (0.250, 0.037, 0.401), Pt at (0.000, 0.000, 0.664) and Pt at (0.040, 0.630, 0.769).

The calculated formation energy is -0.604 eV per atom. The value obtained for the density of states at the Fermi level is 9.9 states/eV per cell. The volume comes out at 557.6 Å³/cell. The final energy comes out at -172.60 eV/cell. Its spin magnetization is 0.0 μB per formula unit.